Entry 1:
Crystalline RbCd3Ru at its relaxed geometry, computed with PBE-GGA.

Excess energy over the best structure of this formula in the dataset in eV/atom: 1.431
Space-group type: Pm-3m
M_tot in μB per formula unit: 3.0
Uncorrected energy in eV for the cell shown: -4.789

Lattice parameters (Å, degrees): 6.5456 6.5456 6.5456 90.00 90.00 90.00
Atoms (fractional coordinates):
Rb 0.0000 0.0000 0.0000
Cd 0.0000 0.0000 0.5000
Cd 0.0000 0.5000 0.0000
Cd 0.5000 0.0000 0.0000
Ru 0.5000 0.5000 0.5000


Entry 2:
Crystalline RbCd2Ru2 at its relaxed geometry, computed with PBE-GGA.

Excess energy over the best structure of this formula in the dataset in eV/atom: 0.151
Space-group type: I4/mmm
M_tot in μB per formula unit: 0.5
Uncorrected energy in eV for the cell shown: -17.850

Lattice parameters (Å, degrees): 6.0018 6.0018 6.0018 130.70 130.70 72.29
Atoms (fractional coordinates):
Rb 0.0000 0.0000 0.0000
Cd 0.2500 0.7500 0.5000
Cd 0.7500 0.2500 0.5000
Ru 0.3847 0.3847 0.0000
Ru 0.6153 0.6153 0.0000


Entry 3:
Crystalline RbCd2Ru2 at its relaxed geometry, computed with PBE-GGA.

Excess energy over the best structure of this formula in the dataset in eV/atom: 0.000
Space-group type: P4/mbm
M_tot in μB per formula unit: 1.6
Uncorrected energy in eV for the cell shown: -37.213

Lattice parameters (Å, degrees): 8.5967 8.5967 2.9275 90.00 90.00 90.00
Atoms (fractional coordinates):
Rb 0.0000 0.0000 0.0000
Rb 0.5000 0.5000 0.0000
Cd 0.1856 0.3144 0.5000
Cd 0.3144 0.8144 0.5000
Cd 0.6856 0.1856 0.5000
Cd 0.8144 0.6856 0.5000
Ru 0.0980 0.5980 0.0000
Ru 0.4020 0.0980 0.0000
Ru 0.5980 0.9020 0.0000
Ru 0.9020 0.4020 0.0000


Entry 4:
Crystalline RbCdRu3 at its relaxed geometry, computed with PBE-GGA.

Excess energy over the best structure of this formula in the dataset in eV/atom: 0.740
Space-group type: Pm-3m
M_tot in μB per formula unit: 4.1
Uncorrected energy in eV for the cell shown: -15.704

Lattice parameters (Å, degrees): 4.7986 4.7986 4.7986 90.00 90.00 90.00
Atoms (fractional coordinates):
Rb 0.0000 0.0000 0.0000
Cd 0.5000 0.5000 0.5000
Ru 0.0000 0.0000 0.5000
Ru 0.0000 0.5000 0.0000
Ru 0.5000 0.0000 0.0000


| no. | energy of formation (eV per atom) |
| --- | --- |
| 1 | 1.640 |
| 2 | 0.700 |
| 3 | 0.549 |
| 4 | 2.801 |